# 1
# MnCoB2, relaxed, DFT GGA-PBE
data_MnCoB2
_chemical_formula_sum 'Mn1 Co1 B2'
_cell_length_a 2.984
_cell_length_b 3.975
_cell_length_c 3.975
_cell_angle_alpha 43.28
_cell_angle_beta 90.00
_cell_angle_gamma 90.00
_symmetry_space_group_name_H-M 'P 1'
_symmetry_Int_Tables_number 1
_symmetry_space_group_name_Hall 'P 1'
loop_
_atom_site_label
_atom_site_type_symbol
_atom_site_fract_x
_atom_site_fract_y
_atom_site_fract_z
Mn1 Mn 0.000 0.000 0.000
Co1 Co 0.500 0.281 0.281
B1 B 0.000 0.713 0.713
B2 B 0.500 0.572 0.572
# DFT total energy	-7.791	eV/atom
# total magnetic moment	1.80	Bohr magnetons per cell
# space group	Amm2, No. 38
# ΔE_f	-0.383	eV/atom

---

# 2
# PmF3, relaxed, DFT GGA-PBE
data_PmF3
_chemical_formula_sum 'Pm1 F3'
_cell_length_a 3.596
_cell_length_b 3.596
_cell_length_c 3.596
_cell_angle_alpha 90.00
_cell_angle_beta 90.00
_cell_angle_gamma 90.00
_symmetry_space_group_name_H-M 'P 1'
_symmetry_Int_Tables_number 1
_symmetry_space_group_name_Hall 'P 1'
loop_
_atom_site_label
_atom_site_type_symbol
_atom_site_fract_x
_atom_site_fract_y
_atom_site_fract_z
Pm1 Pm 0.000 0.000 0.000
F1 F 0.000 0.500 0.500
F2 F 0.500 0.000 0.500
F3 F 0.500 0.500 0.000
# DFT total energy	-6.319	eV/atom
# total magnetic moment	0.00	Bohr magnetons per cell
# space group	Pm-3m, No. 221
# raw formation energy	-3728.2	meV/atom

---

Number 1: Fermi-level density of states 2.99 states/eV/f.u.. Number 2: Fermi-level density of states 0.00 states/eV/f.u..